First-principles (PBE with a Hubbard U) data for KFeNF2 after structural relaxation, as listed in Alexandria via LeMat-Bulk.

D(E_F): 1.49 states/eV per cell
relative energy among the computed polymorphs: 1.450 eV/atom

Cell and atoms, written as CIF:
```
data_KFeNF2
_cell_length_a 4.664
_cell_length_b 4.664
_cell_length_c 4.885
_cell_angle_alpha 90.00
_cell_angle_beta 90.00
_cell_angle_gamma 90.00
_space_group_name_H-M_alt 'P 4/m m m'
_space_group_IT_number 123
_space_group_name_Hall '-P 4 2'
loop_
_atom_site_label
_atom_site_type_symbol
_atom_site_fract_x
_atom_site_fract_y
_atom_site_fract_z
_atom_site_occupancy
K1 K 0.000 0.000 0.000 1
Fe1 Fe 0.500 0.500 0.500 1
N1 N 0.000 0.000 0.500 1
F1 F 0.000 0.500 0.000 1
```